No. 1
Hf3TiBe | the Alexandria database | SCAN | PBEsol geometry; formation energy = 0.473 eV/atom
1.0
-3.269 -3.289 0.007
3.097 -3.074 1.568
-1.107 1.110 4.364
Be Hf Ti
1 3 1
Direct
0.000 0.000 0.000
0.000 0.500 0.000
0.000 0.000 0.500
0.500 0.000 0.000
0.500 0.500 0.500

***

No. 2
Rb2MgBi | the Alexandria database | SCAN | PBEsol geometry; formation energy = 0.142 eV/atom
1.0
5.019 0.000 0.000
0.000 5.019 0.000
-2.510 -2.510 12.712
Mg Bi Rb
2 2 4
Direct
0.750 0.250 0.500
0.500 0.500 0.000
0.250 0.750 0.500
0.000 0.000 0.000
0.876 0.375 0.250
0.374 0.875 0.250
0.625 0.626 0.750
0.125 0.124 0.750

***

No. 3
CoCuGeRu2 | the Alexandria database | SCAN | PBEsol geometry; formation energy = 1.437 eV/atom
1.0
-2.997 0.657 -2.750
0.589 -4.074 -1.615
-2.977 -1.568 2.870
Ru Ge Co Cu
2 1 1 1
Direct
0.000 0.000 0.500
0.000 0.500 0.000
0.500 0.500 0.500
0.500 0.000 0.000
0.000 0.000 0.000

***

No. 4
BaMn2Se | the Alexandria database | SCAN | PBEsol geometry; formation energy without anion corrections = 0.0714 eV/atom
1.0
4.084 0.000 0.000
0.000 6.159 0.407
-2.042 -1.561 3.179
Ba Mn Se
1 2 1
Direct
0.500 0.000 0.000
0.321 0.462 0.641
0.679 0.538 0.359
0.000 0.500 0.000

***

No. 5
YMnO3 | the Alexandria database | SCAN | PBEsol geometry; formation energy without anion corrections = -3.1040 eV/atom
1.0
-5.153 -0.213 0.841
-0.567 -3.463 -4.353
0.986 -5.885 4.554
Y Mn O
4 4 12
Direct
0.519 0.573 0.250
0.981 0.073 0.250
0.481 0.427 0.750
0.019 0.927 0.750
0.000 0.500 0.000
0.500 0.000 0.500
0.000 0.500 0.500
0.500 0.000 0.000
0.392 0.965 0.250
0.108 0.465 0.250
0.608 0.035 0.750
0.892 0.535 0.750
0.804 0.807 0.055
0.696 0.307 0.445
0.196 0.193 0.555
0.304 0.693 0.945
0.196 0.193 0.945
0.304 0.693 0.555
0.804 0.807 0.445
0.696 0.307 0.055

***

No. 6
Al2AgPt2 | the Alexandria database | SCAN | PBEsol geometry; formation energy = -0.574 eV/atom
1.0
-0.011 -2.654 2.859
3.041 1.785 1.669
-4.996 3.617 0.676
Ag Pt Al
1 2 2
Direct
0.000 0.000 0.000
0.250 0.750 0.500
0.750 0.250 0.500
0.387 0.387 0.774
0.613 0.613 0.226

***

No. 7
Ga3ReTe | the Alexandria database | SCAN | PBEsol geometry; formation energy without anion corrections = 1.8705 eV/atom
1.0
5.134 0.000 0.000
0.000 5.134 0.000
0.000 0.000 5.134
Re Te Ga
1 1 3
Direct
0.500 0.500 0.500
0.000 0.000 0.000
0.000 0.500 0.000
0.000 0.000 0.500
0.500 0.000 0.000

***

No. 8
RbCa2WSe | the Alexandria database | SCAN | PBEsol geometry; formation energy without anion corrections = 1.9513 eV/atom
1.0
-0.068 2.848 3.819
0.930 -4.389 3.290
5.485 0.792 -0.493
Ca Se Rb W
2 1 1 1
Direct
0.000 0.000 0.500
0.000 0.500 0.000
0.500 0.500 0.500
0.000 0.000 0.000
0.500 0.000 0.000

***

No. 9
TlHgPb2 | the Alexandria database | SCAN | PBEsol geometry; formation energy = 0.010 eV/atom
1.0
3.443 0.000 0.000
1.722 2.982 0.000
1.722 0.994 10.821
Pb Tl Hg
2 1 1
Direct
0.996 0.996 0.011
0.750 0.750 0.749
0.504 0.504 0.487
0.249 0.249 0.253

***

No. 10
BSbTe2Rh | the Alexandria database | SCAN | PBEsol geometry; formation energy without anion corrections = 1.1882 eV/atom
1.0
-3.040 2.826 2.566
-0.409 -3.756 3.651
4.089 2.059 2.577
Sb B Te Rh
1 1 2 1
Direct
0.500 0.000 0.000
0.500 0.500 0.500
0.000 0.000 0.500
0.000 0.500 0.000
0.000 0.000 0.000

***

No. 11
AgHgB3 | the Alexandria database | SCAN | PBEsol geometry; formation energy = 2.367 eV/atom
1.0
4.328 0.000 0.000
0.000 4.328 0.000
0.000 0.000 4.328
B Hg Ag
3 1 1
Direct
0.000 0.500 0.000
0.000 0.000 0.500
0.500 0.000 0.000
0.000 0.000 0.000
0.500 0.500 0.500

***

No. 12
Rb2Hg2P | the Alexandria database | SCAN | PBEsol geometry; formation energy = -0.199 eV/atom
1.0
6.232 -0.014 -0.022
-2.534 5.694 0.022
-2.534 -2.394 5.166
P Hg Rb
1 2 2
Direct
0.000 0.000 0.000
0.000 0.680 0.680
0.000 0.320 0.320
0.500 0.750 0.250
0.500 0.250 0.750

***

no.,Fermi-level density of states (states/eV per atom),total magnetization (μB/f.u.)
1,0.863,3.46
2,0.457,0.00
3,0.947,4.31
4,0.872,3.38
5,0.124,4.00
6,0.268,0.00
7,0.479,3.87
8,0.778,1.62
9,0.467,0.00
10,0.936,0.00
11,0.463,0.00
12,0.269,0.00